Arrangement P

Material: HoCuRu
Method: DFT, PBE-GGA
State: optimized geometry

Cell: 3.3827 3.3827 9.1889 Å, 90.00 90.00 90.00°
Space group I4mm (No. 107)
Unique sites:
Ho1 0.0000 0.0000 0.0000 (multiplicity 2)
Cu1 0.0000 0.0000 0.6957 (multiplicity 2)
Ru1 0.0000 0.0000 0.3173 (multiplicity 2)

Its total magnetization is 0.0 μB/f.u. The calculation puts the volume at 17.5 Å³/atom. Its density of states at the Fermi level is 3.8 states/eV/cell.

Arrangement Q

Material: HoCuRu
Method: DFT, PBE-GGA
State: optimized geometry

Cell: 5.0679 5.1992 7.8084 Å, 90.00 90.00 90.00°
Space group Imma (No. 74)
Unique sites:
Ho1 0.0000 0.2500 0.1268 (multiplicity 4)
Cu1 0.2500 0.2500 0.7500 (multiplicity 4)
Ru1 0.0000 0.0000 0.5000 (multiplicity 4)

Its total magnetization is 0.0 μB/f.u. The calculation puts the volume at 17.1 Å³/atom. Its density of states at the Fermi level is 6.5 states/eV/cell.

Stability ranking, top and bottom: arrangement Q is the most stable and arrangement P is the least stable.

Arrangement P

Material: HoCuRu
Method: DFT, PBE-GGA
State: optimized geometry

Cell: 8.4182 5.3173 5.1329 Å, 90.00 108.59 90.00°
Space group C2/m (No. 12)
Unique sites:
Ho1 0.1430 0.0000 0.3831 (multiplicity 4)
Cu1 0.2500 0.2500 0.0000 (multiplicity 4)
Ru1 0.0123 0.5000 0.2690 (multiplicity 4)

Its total magnetization is 0.0 μB/f.u. The calculation puts the volume at 18.1 Å³/atom. Its density of states at the Fermi level is 9.1 states/eV/cell.

Arrangement Q

Material: HoCuRu
Method: DFT, PBE-GGA
State: optimized geometry

Cell: 4.2584 4.2584 3.5144 Å, 90.00 90.00 120.00°
Space group P-6m2 (No. 187)
Unique sites:
Ho1 0.0000 0.0000 0.0000 (multiplicity 1)
Cu1 0.3333 0.6667 0.5000 (multiplicity 1)
Ru1 0.6667 0.3333 0.5000 (multiplicity 1)

Its total magnetization is 0.0 μB/f.u. The calculation puts the volume at 18.4 Å³/atom. Its density of states at the Fermi level is 2.0 states/eV/cell.

Stability ranking, top and bottom: arrangement Q is the most stable and arrangement P is the least stable.

Arrangement P

Material: Ho8Cu2Ru
Method: DFT, PBE-GGA
State: optimized geometry

Cell: 8.1277 13.1846 5.7568 Å, 90.00 111.19 90.00°
Space group Cm (No. 8)
Unique sites:
Ho1 0.0000 0.0000 0.0000 (multiplicity 2)
Ho2 0.0721 0.3773 0.7848 (multiplicity 4)
Ho3 0.1463 0.1229 0.5677 (multiplicity 4)
Ho4 0.2232 0.5000 0.3734 (multiplicity 2)
Ho5 0.3597 0.2049 0.1842 (multiplicity 4)
Cu1 0.3625 0.3014 0.6869 (multiplicity 4)
Ru1 0.3628 0.0000 0.2988 (multiplicity 2)

Its total magnetization is 0.0 μB/f.u. The calculation puts the volume at 26.1 Å³/atom. Its density of states at the Fermi level is 25.9 states/eV/cell.

Arrangement Q

Material: Ho8Cu2Ru
Method: DFT, PBE-GGA
State: optimized geometry

Cell: 17.0882 5.0777 6.6667 Å, 90.00 107.48 90.00°
Space group C2/m (No. 12)
Unique sites:
Ho1 0.0320 0.0000 0.2940 (multiplicity 4)
Ho2 0.0910 0.5000 0.9409 (multiplicity 4)
Ho3 0.1669 0.5000 0.4769 (multiplicity 4)
Ho4 0.1978 0.0000 0.8189 (multiplicity 4)
Cu1 0.1835 0.0000 0.2160 (multiplicity 4)
Ru1 0.0000 0.5000 0.5000 (multiplicity 2)

Its total magnetization is 0.0 μB/f.u. The calculation puts the volume at 25.1 Å³/atom. Its density of states at the Fermi level is 19.1 states/eV/cell.

Stability ranking, top and bottom: arrangement Q is the most stable and arrangement P is the least stable.

Arrangement P

Material: Ho2CuS
Method: DFT, PBE-GGA
State: optimized geometry

Cell: 3.6260 3.6260 26.6818 Å, 90.00 90.00 120.00°
Space group R-3m (No. 166, hexagonal axes)
Unique sites:
Ho1 0.0000 0.0000 0.1042 (multiplicity 6)
Cu1 0.0000 0.0000 0.0000 (multiplicity 3)
S1 0.0000 0.0000 0.5000 (multiplicity 3)

Its total magnetization is 0.0 μB/f.u. The calculation puts the volume at 25.3 Å³/atom. Its density of states at the Fermi level is 7.1 states/eV/cell.

Arrangement Q

Material: Ho2CuS
Method: DFT, PBE-GGA
State: optimized geometry

Cell: 3.8846 22.3581 3.9117 Å, 90.00 90.00 90.00°
Space group Cmcm (No. 63)
Unique sites:
Ho1 0.0000 0.0699 0.2500 (multiplicity 4)
Ho2 0.0000 0.3143 0.2500 (multiplicity 4)
Cu1 0.0000 0.4618 0.2500 (multiplicity 4)
S1 0.0000 0.1928 0.2500 (multiplicity 4)

Its total magnetization is 0.0 μB/f.u. The calculation puts the volume at 21.2 Å³/atom. Its density of states at the Fermi level is 7.3 states/eV/cell.

Arrangement R

Material: Ho2CuS
Method: DFT, PBE-GGA
State: optimized geometry

Cell: 3.7932 3.7932 21.4833 Å, 90.00 90.00 120.00°
Space group R3m (No. 160, hexagonal axes)
Unique sites:
Ho1 0.0000 0.0000 0.0000 (multiplicity 3)
Ho2 0.0000 0.0000 0.1696 (multiplicity 3)
Cu1 0.0000 0.0000 0.5856 (multiplicity 3)
S1 0.0000 0.0000 0.4167 (multiplicity 3)

Its total magnetization is 0.0 μB/f.u. The calculation puts the volume at 22.3 Å³/atom. Its density of states at the Fermi level is 8.5 states/eV/cell.

Stability ranking, top and bottom: arrangement Q is the most stable and arrangement P is the least stable.

Arrangement P

Material: Ho2ScCu
Method: DFT, PBE-GGA
State: optimized geometry

Cell: 3.5248 9.1282 6.3294 Å, 90.00 106.12 90.00°
Space group P2_1/m (No. 11)
Unique sites:
Ho1 0.1315 0.0592 0.2658 (multiplicity 4)
Sc1 0.4381 0.2500 0.8767 (multiplicity 2)
Cu1 0.2430 0.7500 0.4827 (multiplicity 2)

Its total magnetization is 0.0 μB/f.u. The calculation puts the volume at 24.5 Å³/atom. Its density of states at the Fermi level is 11.4 states/eV/cell.

Arrangement Q

Material: Ho2ScCu
Method: DFT, PBE-GGA
State: optimized geometry

Cell: 6.6617 9.2054 6.4124 Å, 90.00 90.00 90.00°
Space group Pnma (No. 62)
Unique sites:
Ho1 0.2012 0.0575 0.1953 (multiplicity 8)
Sc1 0.0228 0.2500 0.6214 (multiplicity 4)
Cu1 0.0818 0.7500 0.9800 (multiplicity 4)

Its total magnetization is 0.0 μB/f.u. The calculation puts the volume at 24.6 Å³/atom. Its density of states at the Fermi level is 13.2 states/eV/cell.

Stability ranking, top and bottom: arrangement Q is the most stable and arrangement P is the least stable.

Arrangement P

Material: Ho2ScCu
Method: DFT, PBE-GGA
State: optimized geometry

Cell: 3.3565 3.3565 31.8321 Å, 90.00 90.00 120.00°
Space group R-3m (No. 166, hexagonal axes)
Unique sites:
Ho1 0.0000 0.0000 0.1002 (multiplicity 6)
Sc1 0.0000 0.0000 0.0000 (multiplicity 3)
Cu1 0.0000 0.0000 0.5000 (multiplicity 3)

Its total magnetization is 0.6 μB/f.u. The calculation puts the volume at 25.9 Å³/atom. Its density of states at the Fermi level is 19.8 states/eV/cell.

Arrangement Q

Material: Ho2ScCu
Method: DFT, PBE-GGA
State: optimized geometry

Cell: 3.4212 3.4212 8.3192 Å, 90.00 90.00 90.00°
Space group P4/mmm (No. 123)
Unique sites:
Ho1 0.0000 0.0000 0.2100 (multiplicity 2)
Sc1 0.5000 0.5000 0.5000 (multiplicity 1)
Cu1 0.5000 0.5000 0.0000 (multiplicity 1)

Its total magnetization is 0.0 μB/f.u. The calculation puts the volume at 24.3 Å³/atom. Its density of states at the Fermi level is 6.4 states/eV/cell.

Arrangement R

Material: Ho2ScCu
Method: DFT, PBE-GGA
State: optimized geometry

Cell: 5.1357 5.1357 3.6161 Å, 90.00 90.00 90.00°
Space group P4/mmm (No. 123)
Unique sites:
Ho1 0.0000 0.5000 0.0000 (multiplicity 2)
Sc1 0.0000 0.0000 0.5000 (multiplicity 1)
Cu1 0.5000 0.5000 0.5000 (multiplicity 1)

Its total magnetization is 0.0 μB/f.u. The calculation puts the volume at 23.8 Å³/atom. Its density of states at the Fermi level is 4.9 states/eV/cell.

Stability ranking, top and bottom: arrangement Q is the most stable and arrangement P is the least stable.